Record 1
LaAu3S (GGA-PBE, relaxed); crystal system = cubic; E above lowest polymorph = 0.0 kJ/mol of atoms; space-group type = Pm-3m, No. 221
1.0
4.9033 0.0000 0.0000
0.0000 4.9033 0.0000
0.0000 0.0000 4.9033
S Au La
1 3 1
direct
0.0000 0.0000 0.0000 S
0.0000 0.5000 0.0000 Au
0.0000 0.0000 0.5000 Au
0.5000 0.0000 0.0000 Au
0.5000 0.5000 0.5000 La

Record 2
La4AuSeS2 (GGA-PBE, relaxed); crystal system = monoclinic; space-group type = P2/m, No. 10
1.0
4.2280 0.0000 0.0000
0.0000 7.4181 -0.1575
0.0000 2.6017 6.9374
La Au Se S
4 1 1 2
direct
0.0000 0.7647 0.7427 La
0.0000 0.2353 0.2573 La
0.5000 0.7665 0.2486 La
0.5000 0.2335 0.7514 La
0.5000 0.5000 0.0000 Au
0.0000 0.5000 0.5000 Se
0.0000 0.0000 0.0000 S
0.5000 0.0000 0.5000 S

Record 3
La4AuSe2S (GGA-PBE, relaxed); crystal system = monoclinic; space-group type = P2/m, No. 10
1.0
4.2503 0.0000 0.0000
0.0000 7.5249 -0.1608
0.0000 2.6379 7.0204
La Au Se S
4 1 2 1
direct
0.0000 0.7471 0.7458 La
0.0000 0.2529 0.2542 La
0.5000 0.7444 0.2619 La
0.5000 0.2556 0.7381 La
0.5000 0.5000 0.0000 Au
0.0000 0.0000 0.0000 Se
0.5000 0.0000 0.5000 Se
0.0000 0.5000 0.5000 S

Record 4
LaSnAuS (GGA-PBE, relaxed); crystal system = trigonal; space-group type = R-3m, No. 166
1.0
4.6658 0.0000 0.0000
2.3329 4.0407 0.0000
2.3329 1.3469 11.6502
La Sn Au S
2 2 2 2
direct
0.1130 0.1130 0.6611 La
0.8870 0.8870 0.3389 La
0.7005 0.7005 0.8984 Sn
0.2995 0.2995 0.1016 Sn
0.6171 0.6171 0.1486 Au
0.3829 0.3829 0.8514 Au
0.8031 0.8031 0.5906 S
0.1969 0.1969 0.4094 S

Record 5
La2Sb4Au (GGA-PBE, relaxed); crystal system = tetragonal; space-group type = P-4m2, No. 115
1.0
4.5386 0.0000 0.0000
0.0000 4.5386 0.0000
0.0000 0.0000 9.9529
La Sb Au
2 4 1
direct
0.5000 0.0000 0.7583 La
0.0000 0.5000 0.2417 La
0.5000 0.0000 0.1566 Sb
0.0000 0.5000 0.8434 Sb
0.5000 0.5000 0.5000 Sb
0.0000 0.0000 0.5000 Sb
0.5000 0.5000 0.0000 Au

Record 6
LaSb3Au (GGA-PBE, relaxed); crystal system = cubic; E above lowest polymorph = 40.7 kJ/mol of atoms; space-group type = Pm-3m, No. 221
1.0
-2.5982 -3.3107 -3.3844
3.4379 -3.9736 1.2478
-3.2551 -1.5541 4.0193
Sb Au La
3 1 1
direct
0.0000 0.5000 0.0000 Sb
0.0000 0.0000 0.5000 Sb
0.5000 0.0000 0.0000 Sb
0.0000 0.0000 0.0000 Au
0.5000 0.5000 0.5000 La

Record 7
La2Sb2Au15 (GGA-PBE, relaxed); crystal system = trigonal; space-group type = R-3m, No. 166
1.0
7.3665 -0.0544 0.9023
0.7919 7.3240 0.9023
-0.0610 -0.0544 7.4213
La Sb Au
2 2 15
direct
0.3492 0.3492 0.3492 La
0.6508 0.6508 0.6508 La
0.1055 0.1055 0.1055 Sb
0.8945 0.8945 0.8945 Sb
0.5000 0.0000 0.0000 Au
0.0000 0.0000 0.5000 Au
0.0000 0.5000 0.0000 Au
0.0000 0.6728 0.3272 Au
0.6728 0.3272 0.0000 Au
0.3272 0.0000 0.6728 Au
0.3272 0.6728 0.0000 Au
0.6728 0.0000 0.3272 Au
0.0000 0.3272 0.6728 Au
0.1724 0.6562 0.6562 Au
0.6562 0.6562 0.1724 Au
0.6562 0.1724 0.6562 Au
0.8276 0.3438 0.3438 Au
0.3438 0.3438 0.8276 Au
0.3438 0.8276 0.3438 Au

Record 8
La2SbAu (GGA-PBE, relaxed); crystal system = orthorhombic; space-group type = Amm2, No. 38
1.0
-2.4075 -5.8332 -0.5102
-1.4609 -4.2180 -4.4897
4.2752 -1.7907 0.2902
Sb Au La
1 1 2
direct
0.4604 0.4604 0.6249 Sb
0.2821 0.2821 0.1251 Au
0.0172 0.0172 0.1249 La
0.7403 0.7403 0.6252 La

Total magnetic moment in Bohr magnetons per cell, matching the order above: 0.0, 0.0, 0.0, 0.0, 0.0, 0.0, 0.0, 0.6
Energy relative to the elements, uncorrected in eV/atom, matching the order above: -0.12, -1.74, -1.70, -1.13, -0.82, -0.09, -0.29, -0.96